Record 1
KSbAs2Pd4 PBE-GGA relaxed; crystal system = tetragonal; raw formation energy = -405 meV per atom; energy = -38.53 eV for the cell shown; total moment = 0.00 μB/f.u.
1.0
4.207 0.000 0.000
0.000 4.207 0.000
0.000 0.000 9.964
K Sb As Pd
1 1 2 4
direct
0.000 0.000 0.000
0.000 0.000 0.500
0.500 0.500 0.191
0.500 0.500 0.809
0.000 0.500 0.327
0.000 0.500 0.673
0.500 0.000 0.327
0.500 0.000 0.673

---

Record 2
MgH2 PBE-GGA relaxed; crystal system = orthorhombic; energy = -35.63 eV for the cell shown; total moment = 0.00 μB/f.u.
1.0
4.476 0.000 0.000
0.000 5.398 0.000
0.000 0.000 4.891
Mg H
4 8
direct
0.000 0.169 0.250
0.000 0.831 0.750
0.500 0.331 0.750
0.500 0.669 0.250
0.229 0.108 0.580
0.229 0.892 0.080
0.271 0.392 0.080
0.271 0.608 0.580
0.729 0.392 0.420
0.729 0.608 0.920
0.771 0.108 0.920
0.771 0.892 0.420

---

Record 3
Ac5Cd2Ru2 PBE-GGA relaxed; crystal system = orthorhombic; energy = -85.33 eV for the cell shown; total moment = 0.00 μB/f.u.; E above lowest polymorph = 0.000 eV/atom
1.0
8.663 -4.093 0.000
8.663 4.093 0.000
0.000 0.000 8.290
Ac Cd Ru
10 4 4
direct
0.000 0.000 0.000
0.048 0.721 0.665
0.221 0.548 0.165
0.279 0.952 0.665
0.452 0.779 0.165
0.500 0.500 0.500
0.548 0.221 0.835
0.721 0.048 0.335
0.779 0.452 0.835
0.952 0.279 0.335
0.216 0.216 0.000
0.284 0.284 0.500
0.716 0.716 0.500
0.784 0.784 0.000
0.138 0.862 0.363
0.362 0.638 0.863
0.638 0.362 0.137
0.862 0.138 0.637

---

Record 4
Y3HfPd PBE-GGA relaxed; crystal system = cubic; energy = -30.56 eV for the cell shown; total moment = 0.00 μB/f.u.; E above lowest polymorph = 0.597 eV/atom
1.0
5.436 0.000 0.000
0.000 5.436 0.000
0.000 0.000 5.436
Y Hf Pd
3 1 1
direct
0.000 0.000 0.500
0.000 0.500 0.000
0.500 0.000 0.000
0.000 0.000 0.000
0.500 0.500 0.500

---

Record 5
TeRu2Br PBE-GGA relaxed; crystal system = tetragonal; raw formation energy = 579 meV per atom; energy = -21.05 eV for the cell shown; total moment = 0.00 μB/f.u.; E above lowest polymorph = 0.203 eV/atom
1.0
3.245 0.000 0.000
0.000 3.245 0.000
0.000 0.000 6.956
Te Ru Br
1 2 1
direct
0.000 0.000 0.000
0.500 0.500 0.210
0.500 0.500 0.790
0.000 0.000 0.500

---

Record 6
Sc2AlI PBE-GGA relaxed; crystal system = cubic; raw formation energy = -115 meV per atom; energy = -18.41 eV for the cell shown; total moment = 0.00 μB/f.u.; E above lowest polymorph = 0.043 eV/atom
1.0
0.000 3.594 3.594
3.594 0.000 3.594
3.594 3.594 0.000
Sc Al I
2 1 1
direct
0.250 0.250 0.250
0.750 0.750 0.750
0.000 0.000 0.000
0.500 0.500 0.500

---

Record 7
Pm12Sb3H5 PBE-GGA relaxed; crystal system = cubic; energy = -379.45 eV for the cell shown; total moment = 0.00 μB/f.u.
1.0
-8.021 8.021 8.021
8.021 -8.021 8.021
8.021 8.021 -8.021
Pm Sb H
48 12 20
direct
0.016 0.208 0.111
0.016 0.308 0.904
0.096 0.611 0.403
0.096 0.984 0.692
0.097 0.708 0.692
0.097 0.889 0.404
0.111 0.016 0.208
0.111 0.596 0.903
0.192 0.208 0.597
0.192 0.484 0.596
0.208 0.111 0.016
0.208 0.597 0.192
0.292 0.308 0.903
0.292 0.484 0.389
0.308 0.903 0.292
0.308 0.904 0.016
0.389 0.292 0.484
0.389 0.597 0.904
0.403 0.096 0.611
0.403 0.808 0.792
0.404 0.097 0.889
0.404 0.808 0.516
0.484 0.389 0.292
0.484 0.596 0.192
0.516 0.404 0.808
0.516 0.611 0.708
0.596 0.192 0.484
0.596 0.903 0.111
0.597 0.192 0.208
0.597 0.904 0.389
0.611 0.403 0.096
0.611 0.708 0.516
0.692 0.096 0.984
0.692 0.097 0.708
0.708 0.516 0.611
0.708 0.692 0.097
0.792 0.403 0.808
0.792 0.889 0.984
0.808 0.516 0.404
0.808 0.792 0.403
0.889 0.404 0.097
0.889 0.984 0.792
0.903 0.111 0.596
0.903 0.292 0.308
0.904 0.016 0.308
0.904 0.389 0.597
0.984 0.692 0.096
0.984 0.792 0.889
0.125 0.250 0.375
0.125 0.375 0.750
0.250 0.375 0.125
0.250 0.875 0.625
0.375 0.125 0.250
0.375 0.750 0.125
0.625 0.250 0.875
0.625 0.875 0.750
0.750 0.125 0.375
0.750 0.625 0.875
0.875 0.625 0.250
0.875 0.750 0.625
0.000 0.000 0.000
0.000 0.000 0.500
0.000 0.500 0.000
0.000 0.500 0.500
0.125 0.750 0.875
0.125 0.875 0.250
0.250 0.125 0.875
0.250 0.625 0.375
0.375 0.250 0.625
0.375 0.625 0.750
0.500 0.000 0.000
0.500 0.000 0.500
0.500 0.500 0.000
0.500 0.500 0.500
0.625 0.375 0.250
0.625 0.750 0.375
0.750 0.375 0.625
0.750 0.875 0.125
0.875 0.125 0.750
0.875 0.250 0.125

---

Record 8
KReSe2 PBE-GGA relaxed; crystal system = orthorhombic; raw formation energy = 110 meV per atom; energy = -20.07 eV for the cell shown; total moment = 0.00 μB/f.u.; E above lowest polymorph = 0.374 eV/atom
1.0
3.295 0.000 0.000
0.000 4.406 0.000
0.000 0.000 7.786
K Re Se
1 1 2
direct
0.000 0.000 0.000
0.500 0.500 0.515
0.500 0.000 0.629
0.500 0.500 0.217

---

Record 9
Th2SeS PBE-GGA relaxed; crystal system = trigonal; raw formation energy = -1691 meV per atom; energy = -29.22 eV for the cell shown; total moment = 0.00 μB/f.u.; E above lowest polymorph = 0.000 eV/atom
1.0
2.036 1.176 6.914
-2.036 1.176 6.914
0.000 -2.351 6.914
Th Se S
2 1 1
direct
0.244 0.244 0.244
0.756 0.756 0.756
0.000 0.000 0.000
0.500 0.500 0.500

---

Record 10
MgNi4Sn PBE-GGA relaxed; crystal system = orthorhombic; energy = -58.01 eV for the cell shown; total moment = 0.00 μB/f.u.
1.0
2.038 -8.550 0.000
2.038 8.550 0.000
0.000 0.000 4.988
Mg Ni Sn
2 8 2
direct
0.087 0.913 0.750
0.913 0.087 0.250
0.057 0.943 0.250
0.216 0.784 0.005
0.216 0.784 0.495
0.500 0.500 0.000
0.500 0.500 0.500
0.784 0.216 0.505
0.784 0.216 0.995
0.943 0.057 0.750
0.354 0.646 0.750
0.646 0.354 0.250

---

Record 11
Y2GaAu PBE-GGA relaxed; crystal system = monoclinic; energy = -44.46 eV for the cell shown; total moment = 0.00 μB/f.u.
1.0
5.920 0.000 0.000
0.000 4.464 0.000
-2.629 0.000 7.348
Y Ga Au
4 2 2
direct
0.213 0.250 0.433
0.220 0.250 0.921
0.780 0.750 0.079
0.787 0.750 0.567
0.327 0.750 0.208
0.673 0.250 0.792
0.348 0.750 0.709
0.652 0.250 0.291

---

Record 12
ZnIn2I PBE-GGA relaxed; crystal system = tetragonal; raw formation energy = 66 meV per atom; energy = -16.07 eV for the cell shown; total moment = 0.00 μB/f.u.; E above lowest polymorph = 0.000 eV/atom
1.0
-3.248 3.248 7.388
3.248 -3.248 7.388
3.248 3.248 -7.388
Zn In I
2 4 2
direct
0.000 0.000 0.000
0.750 0.250 0.500
0.040 0.625 0.915
0.375 0.290 0.415
0.710 0.125 0.085
0.875 0.960 0.585
0.250 0.750 0.500
0.500 0.500 0.000

---

What is the formula in the second record? MgH2

---

total moment of number 11 (Y2GaAu)? 0.00 μB/f.u.